1.
## PrSm10Dy4 (GGA-PBE)

Data for a geometry-optimized PrSm10Dy4 structure.

Structure (POSCAR):
```
PrSm10Dy4
1.0
-4.967 4.967 5.418
4.967 -4.967 5.418
4.967 4.967 -5.418
Pr Sm Dy
1 10 4
Direct
0.000 0.000 0.000 Pr
0.052 0.947 0.657 Sm
0.053 0.710 0.105 Sm
0.250 0.750 0.500 Sm
0.290 0.394 0.343 Sm
0.394 0.052 0.105 Sm
0.606 0.948 0.895 Sm
0.710 0.606 0.657 Sm
0.750 0.250 0.500 Sm
0.947 0.290 0.895 Sm
0.948 0.053 0.343 Sm
0.219 0.557 0.776 Dy
0.443 0.219 0.663 Dy
0.557 0.781 0.337 Dy
0.781 0.443 0.224 Dy
```

Output
**Formation energy**: 0.4470 eV per atom
**Raw total energy**: -4.24 eV per atom



2.
## K2CaLaCd (GGA-PBE)

Data for a geometry-optimized K2CaLaCd structure.

Structure (POSCAR):
```
K2CaLaCd
1.0
6.428 0.000 0.000
0.000 6.428 0.000
0.000 0.000 6.255
K Ca La Cd
2 1 1 1
Direct
0.000 0.500 0.000 K
0.500 0.000 0.000 K
0.000 0.000 0.500 Ca
0.500 0.500 0.500 La
0.500 0.500 0.000 Cd
```

Output
**Formation energy**: 0.3731 eV per atom
**Raw total energy**: -1.63 eV per atom



3.
## GdPuFe (GGA-PBE)

Data for a geometry-optimized GdPuFe structure.

Structure (POSCAR):
```
GdPuFe
1.0
4.136 0.000 0.000
-2.068 3.582 0.000
0.000 0.000 4.599
Gd Pu Fe
1 1 1
Direct
0.000 0.000 0.000 Gd
0.667 0.333 0.504 Pu
0.333 0.667 0.479 Fe
```

Output
**Formation energy**: 0.1518 eV per atom
**Raw total energy**: -12.14 eV per atom
**Offset from the most stable computed form**: 0.20 eV/f.u.



4.
## Pm5Nd4Y4 (GGA-PBE)

Data for a geometry-optimized Pm5Nd4Y4 structure.

Structure (POSCAR):
```
Pm5Nd4Y4
1.0
-6.568 6.568 2.564
6.568 -6.568 2.564
6.568 6.568 -2.564
Pm Nd Y
5 4 4
Direct
0.000 0.000 0.000 Pm
0.309 0.461 0.770 Pm
0.461 0.691 0.152 Pm
0.539 0.309 0.848 Pm
0.691 0.539 0.230 Pm
0.077 0.616 0.693 Nd
0.384 0.077 0.461 Nd
0.616 0.923 0.539 Nd
0.923 0.384 0.307 Nd
0.154 0.231 0.385 Y
0.231 0.846 0.077 Y
0.769 0.154 0.923 Y
0.846 0.769 0.615 Y
```

Output
**Formation energy**: 0.0134 eV per atom
**Raw total energy**: -5.27 eV per atom



5.
## Li8Hg2Rh (GGA-PBE)

Data for a geometry-optimized Li8Hg2Rh structure.

Structure (POSCAR):
```
Li8Hg2Rh
1.0
6.551 -2.279 0.000
6.551 2.279 0.000
-3.787 0.000 5.970
Li Hg Rh
8 2 1
Direct
0.031 0.031 0.223 Li
0.129 0.129 0.672 Li
0.333 0.333 0.613 Li
0.401 0.401 0.068 Li
0.599 0.599 0.932 Li
0.667 0.667 0.387 Li
0.871 0.871 0.328 Li
0.969 0.969 0.777 Li
0.227 0.227 0.170 Hg
0.773 0.773 0.830 Hg
0.500 0.500 0.500 Rh
```

Output
**Formation energy**: -0.2081 eV per atom
**Raw total energy**: -2.32 eV per atom



6.
## GaCu3Ge (GGA-PBE)

Data for a geometry-optimized GaCu3Ge structure.

Structure (POSCAR):
```
GaCu3Ge
1.0
4.565 0.000 0.000
0.000 4.565 0.000
0.000 0.000 4.565
Ga Cu Ge
1 3 1
Direct
0.000 0.000 0.000 Ga
0.000 0.500 0.500 Cu
0.500 0.000 0.500 Cu
0.500 0.500 0.000 Cu
0.500 0.500 0.500 Ge
```

Output
**Formation energy**: 0.4588 eV per atom
**Raw total energy**: -3.53 eV per atom
**Offset from the most stable computed form**: 2.37 eV/f.u.



7.
## TeAuSe2 (GGA-PBE)

Data for a geometry-optimized TeAuSe2 structure.

Structure (POSCAR):
```
TeAuSe2
1.0
2.061 1.190 6.451
-2.061 1.190 6.451
0.000 -2.379 6.451
Te Au Se
1 1 2
Direct
0.000 0.000 0.000 Te
0.500 0.500 0.500 Au
0.243 0.243 0.243 Se
0.757 0.757 0.757 Se
```

Output
**Raw total energy**: -3.29 eV per atom
**Offset from the most stable computed form**: 0.11 eV/f.u.
**Formation energy (no corrections)**: 0.06 eV/atom



8.
## SmHfZr (GGA-PBE)

Data for a geometry-optimized SmHfZr structure.

Structure (POSCAR):
```
SmHfZr
1.0
-1.610 1.610 7.559
1.610 -1.610 7.559
1.610 1.610 -7.559
Sm Hf Zr
1 1 1
Direct
0.000 0.000 0.000 Sm
0.324 0.324 0.000 Hf
0.685 0.685 0.000 Zr
```

Output
**Formation energy**: 0.1275 eV per atom
**Raw total energy**: -7.61 eV per atom
**Offset from the most stable computed form**: 0.00 eV/f.u.



no.,total magnetization (μB per cell)
1,0.0
2,0.0
3,11.7
4,0.0
5,0.0
6,0.0
7,0.0
8,0.0